Below is a geometry-optimized Tm2ScTc structure, with properties calculated at the PBE level.

energy relative to the elements	-0.156	eV per atom
total magnetic moment	0.0000	μB/atom
E_tot	-6.566	eV per atom
DOS at the Fermi energy	0.853	states/eV per atom
mass density	8.22	g/cm³
volume	24.28	Å³/atom

a = 7.1741 Å, b = 8.9122 Å, c = 6.0751 Å
α = 90.00°, β = 90.00°, γ = 90.00°
Fractional coordinates of all 16 atoms:
Tm: 0.1782 0.0622 0.1590
Tm: 0.1782 0.4378 0.1590
Tm: 0.3218 0.5622 0.6590
Tm: 0.3218 0.9378 0.6590
Tm: 0.6782 0.0622 0.3410
Tm: 0.6782 0.4378 0.3410
Tm: 0.8218 0.5622 0.8410
Tm: 0.8218 0.9378 0.8410
Sc: 0.0444 0.2500 0.6312
Sc: 0.4556 0.7500 0.1312
Sc: 0.5444 0.2500 0.8688
Sc: 0.9556 0.7500 0.3688
Tc: 0.1195 0.7500 0.9751
Tc: 0.3805 0.2500 0.4751
Tc: 0.6195 0.7500 0.5249
Tc: 0.8805 0.2500 0.0249

---

Below is a geometry-optimized Ga5Ag2Au3 structure, with properties calculated at the PBE level.

energy relative to the elements	-0.096	eV per atom
total magnetic moment	0.0000	μB/atom
E_tot	-3.163	eV per atom
DOS at the Fermi energy	0.327	states/eV per atom
mass density	10.15	g/cm³
volume	18.89	Å³/atom

a = 11.6829 Å, b = 11.6829 Å, c = 7.8407 Å
α = 90.00°, β = 90.00°, γ = 159.32°
Fractional coordinates of all 20 atoms:
Ga: 0.0577 0.9423 0.5000
Ga: 0.1129 0.8871 0.8772
Ga: 0.2861 0.7139 0.2756
Ga: 0.2938 0.7062 0.6776
Ga: 0.3983 0.6017 0.7789
Ga: 0.6017 0.3983 0.2789
Ga: 0.7062 0.2938 0.1776
Ga: 0.7139 0.2861 0.7756
Ga: 0.8871 0.1129 0.3772
Ga: 0.9423 0.0577 0.0000
Ag: 0.1790 0.8210 0.4826
Ag: 0.4828 0.5172 0.4033
Ag: 0.5172 0.4828 0.9033
Ag: 0.8210 0.1790 0.9826
Au: 0.0443 0.9557 0.1556
Au: 0.2278 0.7722 0.9777
Au: 0.3915 0.6085 0.1513
Au: 0.6085 0.3915 0.6513
Au: 0.7722 0.2278 0.4777
Au: 0.9557 0.0443 0.6556

---

> Among the records above, which one has the lowest volume?

Ga5Ag2Au3